# 1
First-principles (PBE) data for an optimized crystal structure of BaHg4Bi2, as listed in Alexandria via LeMat-Bulk.

Summary:
formation energy from the elements = -256 meV per atom
E above lowest polymorph = 0.000 eV/atom

Cell lengths 5.3993, 5.4073, 9.3955 Å; angles 74.61, 74.18, 60.53 degrees
Fractional coordinates of all 7 atoms:
Ba1 0.0000 0.0000 0.0000
Hg1 0.1372 0.1297 0.5986
Hg2 0.3937 0.3905 0.8165
Hg3 0.6063 0.6095 0.1835
Hg4 0.8628 0.8703 0.4014
Bi1 0.2480 0.2533 0.2540
Bi2 0.7520 0.7467 0.7460

=====

# 2
First-principles (PBE) data for an optimized crystal structure of BaHg4Bi, as listed in Alexandria via LeMat-Bulk.

Summary:
formation energy from the elements = -254 meV per atom
E above lowest polymorph = 0.015 eV/atom

Cell lengths 6.3690, 6.3690, 6.3690 Å; angles 60.00, 60.00, 60.00 degrees
Fractional coordinates of all 6 atoms:
Ba1 0.0000 0.0000 0.0000
Hg1 0.1281 0.6240 0.6240
Hg2 0.6240 0.1281 0.6240
Hg3 0.6240 0.6240 0.1281
Hg4 0.6240 0.6240 0.6240
Bi1 0.2500 0.2500 0.2500

=====

# 3
First-principles (PBE) data for an optimized crystal structure of Ba4HgBi4, as listed in Alexandria via LeMat-Bulk.

Summary:
formation energy from the elements = -706 meV per atom

Cell lengths 10.3373, 10.3373, 7.4196 Å; angles 90.00, 90.00, 90.00 degrees
Fractional coordinates of all 18 atoms:
Ba1 0.0112 0.7485 0.0404
Ba2 0.2485 0.9888 0.5404
Ba3 0.2515 0.5112 0.5404
Ba4 0.4888 0.7515 0.0404
Ba5 0.5112 0.2485 0.9596
Ba6 0.7485 0.4888 0.4596
Ba7 0.7515 0.0112 0.4596
Ba8 0.9888 0.2515 0.9596
Hg1 0.2500 0.2500 0.2500
Hg2 0.7500 0.7500 0.7500
Bi1 0.0078 0.2519 0.4707
Bi2 0.2481 0.0078 0.0293
Bi3 0.2519 0.4922 0.0293
Bi4 0.4922 0.2481 0.4707
Bi5 0.5078 0.7519 0.5293
Bi6 0.7481 0.5078 0.9707
Bi7 0.7519 0.9922 0.9707
Bi8 0.9922 0.7481 0.5293

=====

no.,final energy (eV/atom)
1,-1.81
2,-1.42
3,-3.32